The following is a PBE calculation of a relaxed TaCuMoW crystal, from OQMD via LeMat-Bulk.

Total energy (eV per cell): -38.511
ΔE to the lowest computed polymorph (eV per atom): 0.0046

Lattice parameters (Å, degrees): 4.453 4.453 4.453 60.00 60.00 60.00
Atoms (fractional coordinates):
1 Ta 0.000 0.000 0.000
2 Cu 0.750 0.750 0.750
3 Mo 0.250 0.250 0.250
4 W 0.500 0.500 0.500